No. 1
The following is a GGA-PBE calculation of crystalline Cr4Co at its relaxed geometry, from Alexandria via LeMat-Bulk.

Values from the calculation:
The formation energy from the elements comes out at 0.106 eV/atom. The distance to the lowest polymorph of the same formula comes out at 0 meV/atom. The uncorrected energy comes out at -0.33126 hartree per atom.

Cell: 4.6918 4.6918 4.6918 Å, 95.36 95.36 144.40°
Closest atoms and distances in Å follow each position.
Element x y z (fractional)
Cr 0.1083 0.3055 0.4139  6 Cr 2.40-2.45, 2 Co 2.50
Cr 0.3055 0.8917 0.1972  6 Cr 2.40-2.45, 2 Co 2.50
Cr 0.6945 0.1083 0.8028  6 Cr 2.40-2.45, 2 Co 2.50
Cr 0.8917 0.6945 0.5861  6 Cr 2.40-2.45, 2 Co 2.50
Co 0.5000 0.5000 0.0000  12 Cr 2.50-2.76



No. 2
The following is a GGA-PBE calculation of crystalline CrCo at its relaxed geometry, from Alexandria via LeMat-Bulk.

Values from the calculation:
The formation energy from the elements comes out at 1.614 eV/atom. The uncorrected energy comes out at -0.24807 hartree per atom.

Cell: 5.9415 5.9415 5.9415 Å, 109.47 109.47 109.47°
Closest atoms and distances in Å follow each position.
Element x y z (fractional)
Cr 0.0000 0.0000 0.7178  4 Co 2.18-2.20
Cr 0.0000 0.7178 0.0000  4 Co 2.18-2.20
Cr 0.2822 0.2822 0.2822  4 Co 2.18-2.20
Cr 0.7178 0.0000 0.0000  4 Co 2.18-2.20
Co 0.0000 0.0000 0.3504  4 Cr 2.18-2.20
Co 0.0000 0.3504 0.0000  4 Cr 2.18-2.20
Co 0.3504 0.0000 0.0000  4 Cr 2.18-2.20
Co 0.6496 0.6496 0.6496  4 Cr 2.18-2.20



No. 3
The following is a GGA-PBE calculation of crystalline Cr2Co5 at its relaxed geometry, from Alexandria via LeMat-Bulk.

Values from the calculation:
The formation energy from the elements comes out at 0.320 eV/atom. The uncorrected energy comes out at -0.27581 hartree per atom.

Cell: 6.7884 6.7884 6.7884 Å, 149.09 149.09 44.28°
Closest atoms and distances in Å follow each position.
Element x y z (fractional)
Cr 0.2424 0.2424 0.0000  8 Co 2.41-2.54, 4 Cr 2.57
Cr 0.7576 0.7576 0.0000  8 Co 2.41-2.54, 4 Cr 2.57
Co 0.1154 0.6154 0.5000  6 Co 2.32-2.56, 4 Cr 2.41-2.54
Co 0.3846 0.8846 0.5000  6 Co 2.32-2.56, 4 Cr 2.41-2.54
Co 0.5000 0.5000 0.0000  8 Co 2.32
Co 0.6154 0.1154 0.5000  6 Co 2.32-2.56, 4 Cr 2.41-2.54
Co 0.8846 0.3846 0.5000  6 Co 2.32-2.56, 4 Cr 2.41-2.54



No. 4
The following is a GGA-PBE calculation of crystalline CrCo at its relaxed geometry, from Alexandria via LeMat-Bulk.

Values from the calculation:
The formation energy from the elements comes out at 0.616 eV/atom. The uncorrected energy comes out at -0.28477 hartree per atom.

Cell: 5.3933 5.3293 4.7895 Å, 64.16 62.79 53.06°
Closest atoms and distances in Å follow each position.
Element x y z (fractional)
Cr 0.0397 0.7103 0.7103  1 Cr 2.20, 2 Co 2.23
Cr 0.2897 0.9603 0.9603  1 Cr 2.20, 2 Co 2.23
Cr 0.7103 0.0397 0.0397  1 Cr 2.20, 2 Co 2.23
Cr 0.9603 0.2897 0.2897  1 Cr 2.20, 2 Co 2.23
Co 0.2097 0.5403 0.2097  2 Cr 2.23, 1 Co 2.27
Co 0.4597 0.7903 0.4597  2 Cr 2.23, 1 Co 2.27
Co 0.5403 0.2097 0.5403  2 Cr 2.23, 1 Co 2.27
Co 0.7903 0.4597 0.7903  2 Cr 2.23, 1 Co 2.27



No. 5
The following is a GGA-PBE calculation of crystalline Cr7Co at its relaxed geometry, from Alexandria via LeMat-Bulk.

Values from the calculation:
The formation energy from the elements comes out at 0.289 eV/atom. The uncorrected energy comes out at -0.33148 hartree per atom.

Cell: 5.0860 5.0860 5.0860 Å, 60.00 60.00 60.00°
Closest atoms and distances in Å follow each position.
Element x y z (fractional)
Cr 0.0000 0.0000 0.0000  12 Cr 2.54
Cr 0.0000 0.0000 0.5000  10 Cr 2.54, 2 Co 2.54
Cr 0.0000 0.5000 0.0000  10 Cr 2.54, 2 Co 2.54
Cr 0.0000 0.5000 0.5000  10 Cr 2.54, 2 Co 2.54
Cr 0.5000 0.0000 0.0000  10 Cr 2.54, 2 Co 2.54
Cr 0.5000 0.0000 0.5000  10 Cr 2.54, 2 Co 2.54
Cr 0.5000 0.5000 0.0000  10 Cr 2.54, 2 Co 2.54
Co 0.5000 0.5000 0.5000  12 Cr 2.54



No. 6
The following is a GGA-PBE calculation of crystalline CrCo5 at its relaxed geometry, from Alexandria via LeMat-Bulk.

Values from the calculation:
The formation energy from the elements comes out at 0.050 eV/atom. The uncorrected energy comes out at -0.27472 hartree per atom.

Cell: 4.3144 4.3144 4.9659 Å, 106.83 106.83 48.15°
Closest atoms and distances in Å follow each position.
Element x y z (fractional)
Cr 0.0000 0.0000 0.0000  12 Co 2.48-2.50
Co 0.0000 0.0000 0.5000  10 Co 2.48-2.49, 2 Cr 2.48
Co 0.3328 0.3328 0.6651  10 Co 2.46-2.50, 2 Cr 2.49
Co 0.3341 0.3341 0.1698  9 Co 2.46-2.51, 3 Cr 2.49-2.50
Co 0.6659 0.6659 0.8302  9 Co 2.46-2.51, 3 Cr 2.49-2.50
Co 0.6672 0.6672 0.3349  10 Co 2.46-2.50, 2 Cr 2.49



No. 7
The following is a GGA-PBE calculation of crystalline CrCo at its relaxed geometry, from Alexandria via LeMat-Bulk.

Values from the calculation:
The formation energy from the elements comes out at 0.161 eV/atom. The uncorrected energy comes out at -0.30148 hartree per atom.

Cell: 2.8610 2.8610 5.5375 Å, 90.00 90.00 90.00°
Closest atoms and distances in Å follow each position.
Element x y z (fractional)
Cr 0.2500 0.2500 0.1178  4 Cr 2.41, 4 Co 2.47
Cr 0.7500 0.7500 0.8822  4 Cr 2.41, 4 Co 2.47
Co 0.2500 0.2500 0.6263  4 Co 2.46, 5 Cr 2.47-2.72
Co 0.7500 0.7500 0.3737  4 Co 2.46, 5 Cr 2.47-2.72



No. 8
The following is a GGA-PBE calculation of crystalline CrCo at its relaxed geometry, from Alexandria via LeMat-Bulk.

Values from the calculation:
The formation energy from the elements comes out at 0.165 eV/atom. The uncorrected energy comes out at -0.30131 hartree per atom.

Cell: 8.4261 8.4261 8.4261 Å, 16.98 16.98 16.98°
Closest atoms and distances in Å follow each position.
Element x y z (fractional)
Cr 0.1217 0.1217 0.1217  3 Co 2.45, 9 Cr 2.49-2.66
Cr 0.8783 0.8783 0.8783  3 Co 2.45, 9 Cr 2.49-2.66
Co 0.3752 0.3752 0.3752  3 Cr 2.45, 9 Co 2.49-2.53
Co 0.6248 0.6248 0.6248  3 Cr 2.45, 9 Co 2.49-2.53



No. 9
The following is a GGA-PBE calculation of crystalline Cr3Co2 at its relaxed geometry, from Alexandria via LeMat-Bulk.

Values from the calculation:
The formation energy from the elements comes out at 0.191 eV/atom. The distance to the lowest polymorph of the same formula comes out at 131 meV/atom. The uncorrected energy comes out at -0.30961 hartree per atom.

Cell: 10.5547 10.5547 10.5547 Å, 13.55 13.55 13.55°
Closest atoms and distances in Å follow each position.
Element x y z (fractional)
Cr 0.0000 0.0000 0.0000  6 Cr 2.49, 6 Co 2.51
Cr 0.2019 0.2019 0.2019  9 Cr 2.49-2.64, 3 Co 2.51
Cr 0.7981 0.7981 0.7981  9 Cr 2.49-2.64, 3 Co 2.51
Co 0.3991 0.3991 0.3991  6 Co 2.49, 6 Cr 2.51
Co 0.6009 0.6009 0.6009  6 Co 2.49, 6 Cr 2.51



No. 10
The following is a GGA-PBE calculation of crystalline CrCo at its relaxed geometry, from Alexandria via LeMat-Bulk.

Values from the calculation:
The formation energy from the elements comes out at 1.301 eV/atom. The uncorrected energy comes out at -0.25959 hartree per atom.

Cell: 3.5568 3.5568 3.5568 Å, 60.00 60.00 60.00°
Closest atoms and distances in Å follow each position.
Element x y z (fractional)
Cr 0.0000 0.0000 0.0000  4 Co 2.18
Co 0.7500 0.7500 0.7500  4 Cr 2.18



No. 11
The following is a GGA-PBE calculation of crystalline CrCo at its relaxed geometry, from Alexandria via LeMat-Bulk.

Values from the calculation:
The formation energy from the elements comes out at 0.072 eV/atom. The uncorrected energy comes out at -0.30473 hartree per atom.

Cell: 4.3465 3.9996 5.0180 Å, 90.00 90.00 90.00°
Closest atoms and distances in Å follow each position.
Element x y z (fractional)
Cr 0.0943 0.2500 0.1212  8 Co 2.45-2.55, 4 Cr 2.48-2.53
Cr 0.4057 0.7500 0.6212  8 Co 2.45-2.55, 4 Cr 2.48-2.53
Cr 0.5943 0.2500 0.3788  8 Co 2.45-2.55, 4 Cr 2.48-2.53
Cr 0.9057 0.7500 0.8788  8 Co 2.45-2.55, 4 Cr 2.48-2.53
Co 0.0815 0.2500 0.6238  8 Cr 2.45-2.55, 4 Co 2.46-2.52
Co 0.4185 0.7500 0.1238  8 Cr 2.45-2.55, 4 Co 2.46-2.52
Co 0.5815 0.2500 0.8762  8 Cr 2.45-2.55, 4 Co 2.46-2.52
Co 0.9185 0.7500 0.3762  8 Cr 2.45-2.55, 4 Co 2.46-2.52



No. 12
The following is a GGA-PBE calculation of crystalline CrCo at its relaxed geometry, from Alexandria via LeMat-Bulk.

Values from the calculation:
The formation energy from the elements comes out at 1.096 eV/atom. The uncorrected energy comes out at -0.26710 hartree per atom.

Cell: 3.8956 3.8956 4.4515 Å, 90.00 90.00 120.00°
Closest atoms and distances in Å follow each position.
Element x y z (fractional)
Cr 0.3333 0.6667 0.2500  5 Co 2.23-2.25
Cr 0.6667 0.3333 0.7500  5 Co 2.23-2.25
Co 0.3333 0.6667 0.7500  5 Cr 2.23-2.25
Co 0.6667 0.3333 0.2500  5 Cr 2.23-2.25